# 1
A plane-wave DFT calculation with GGA-PBE was carried out for CuPtI2N after structural relaxation.

Cell and atoms, written as POSCAR:
```
CuPtI2N
1.0
-5.349 -0.665 0.908
0.933 -0.149 5.384
-0.413 3.556 0.170
I Cu Pt N
2 1 1 1
Cartesian
0.466 -0.075 2.692
-2.674 -0.332 0.454
0.000 0.000 0.000
-2.415 1.371 3.231
-0.206 1.778 0.085
```

Computed properties:
crystal system	tetragonal
ΔE_f (raw)	1.096	eV/atom
raw total energy	-3.2160	eV/atom
offset from the most stable computed form	0.4077	eV/atom
N(E_F)	4.6	states/eV/f.u.



# 2
A plane-wave DFT calculation with GGA-PBE was carried out for Rb2CuI6N after structural relaxation.

Cell and atoms, written as POSCAR:
```
Rb2CuI6N
1.0
7.748 0.000 0.000
0.000 7.748 0.000
3.874 3.874 5.461
I Cu Rb N
6 1 2 1
Cartesian
3.874 3.874 2.663
7.748 7.748 2.799
1.987 1.987 0.000
5.760 5.760 0.000
5.760 1.987 0.000
1.987 5.760 0.000
0.000 0.000 0.000
7.748 3.874 2.731
3.874 7.748 2.731
3.874 3.874 0.000
```

Computed properties:
crystal system	tetragonal
ΔE_f (raw)	-0.157	eV/atom
raw total energy	-2.5229	eV/atom
N(E_F)	2.7	states/eV/f.u.



# 3
A plane-wave DFT calculation with GGA-PBE was carried out for RbCuIN2 after structural relaxation.

Cell and atoms, written as POSCAR:
```
RbCuIN2
1.0
-0.092 1.427 -5.022
2.048 -4.611 -1.348
-6.727 -2.792 -0.670
I Cu Rb N
1 1 1 2
Cartesian
-3.364 -1.396 -0.335
-2.386 -2.988 -3.520
0.000 0.000 0.000
1.024 -2.305 -0.674
-0.046 0.714 -2.511
```

Computed properties:
crystal system	tetragonal
ΔE_f (raw)	2.102	eV/atom
raw total energy	-2.5510	eV/atom
offset from the most stable computed form	0.7072	eV/atom
N(E_F)	2.3	states/eV/f.u.



# 4
A plane-wave DFT calculation with GGA-PBE was carried out for RbCuIN2 after structural relaxation.

Cell and atoms, written as POSCAR:
```
RbCuIN2
1.0
4.474 0.000 0.000
0.000 4.474 0.000
0.000 0.000 5.439
I Cu Rb N
1 1 1 2
Cartesian
0.000 0.000 2.719
0.000 0.000 0.000
2.237 2.237 2.719
0.000 2.237 0.000
2.237 0.000 0.000
```

Computed properties:
crystal system	tetragonal
ΔE_f (raw)	1.395	eV/atom
raw total energy	-3.2582	eV/atom
offset from the most stable computed form	0.0000	eV/atom
N(E_F)	2.8	states/eV/f.u.



# 5
A plane-wave DFT calculation with GGA-PBE was carried out for CuReI2N after structural relaxation.

Cell and atoms, written as POSCAR:
```
CuReI2N
1.0
-2.022 -4.027 2.880
4.145 -3.079 -1.395
1.773 1.116 2.805
I Re Cu N
2 1 1 1
Cartesian
2.072 -1.539 -0.698
-1.011 -2.014 1.440
1.948 -2.995 2.145
0.000 0.000 0.000
0.887 0.558 1.403
```

Computed properties:
crystal system	tetragonal
ΔE_f (raw)	1.691	eV/atom
raw total energy	-3.9029	eV/atom
offset from the most stable computed form	1.0382	eV/atom
N(E_F)	5.2	states/eV/f.u.



# 6
A plane-wave DFT calculation with GGA-PBE was carried out for CuReI2N after structural relaxation.

Cell and atoms, written as POSCAR:
```
CuReI2N
1.0
5.552 0.000 0.000
0.000 5.552 0.000
0.000 0.000 3.763
I Re Cu N
2 1 1 1
Cartesian
0.000 2.776 0.000
2.776 0.000 0.000
0.000 0.000 0.000
2.776 2.776 1.882
0.000 0.000 1.882
```

Computed properties:
crystal system	tetragonal
ΔE_f (raw)	0.653	eV/atom
raw total energy	-4.9410	eV/atom
offset from the most stable computed form	0.0000	eV/atom
N(E_F)	2.4	states/eV/f.u.



# 7
A plane-wave DFT calculation with GGA-PBE was carried out for CuSIN2 after structural relaxation.

Cell and atoms, written as POSCAR:
```
CuSIN2
1.0
3.868 0.000 0.000
0.000 3.868 0.000
0.000 0.000 5.699
I S Cu N
1 1 1 2
Cartesian
0.000 0.000 0.000
0.000 0.000 2.850
1.934 1.934 2.850
0.000 1.934 0.000
1.934 0.000 0.000
```

Computed properties:
crystal system	tetragonal
ΔE_f (raw)	1.895	eV/atom
raw total energy	-3.3894	eV/atom
offset from the most stable computed form	0.4583	eV/atom
N(E_F)	2.6	states/eV/f.u.



# 8
A plane-wave DFT calculation with GGA-PBE was carried out for CuS2IN after structural relaxation.

Cell and atoms, written as POSCAR:
```
CuS2IN
1.0
-2.673 -4.173 -1.396
4.275 -2.850 0.332
-0.796 -0.754 3.777
I S Cu N
1 2 1 1
Cartesian
0.000 0.000 0.000
2.138 -1.425 0.166
-1.337 -2.087 -0.698
0.403 -3.888 1.357
-0.398 -0.377 1.888
```

Computed properties:
crystal system	tetragonal
ΔE_f (raw)	1.575	eV/atom
raw total energy	-2.8703	eV/atom
offset from the most stable computed form	0.4888	eV/atom
N(E_F)	7.2	states/eV/f.u.